DFT (GGA-PBE) results for crystalline Se at its relaxed geometry.

Lattice parameters (Å, degrees): 5.219 12.815 6.449 90.00 90.00 90.00
Sites, in units of the cell vectors:
Se (0.250, 0.101, 0.228)
Se (0.250, 0.250, 0.444)
Se (0.250, 0.399, 0.228)
Se (0.250, 0.602, 0.888)
Se (0.250, 0.750, 0.104)
Se (0.250, 0.898, 0.888)
Se (0.750, 0.102, 0.112)
Se (0.750, 0.250, 0.896)
Se (0.750, 0.398, 0.112)
Se (0.750, 0.601, 0.772)
Se (0.750, 0.750, 0.556)
Se (0.750, 0.899, 0.772)

Energy relative to the elements, uncorrected: 0.094 eV per atom
Offset from the most stable computed form: 0.094 eV/atom
Total magnetization: 0.00 μB/cell
Mass density: 3.648 g cm⁻³

DFT (GGA-PBE) results for crystalline Se at its relaxed geometry.

Lattice parameters (Å, degrees): 6.302 6.302 6.302 95.57 95.57 143.71
Sites, in units of the cell vectors:
Se (0.147, 0.147, 0.293)
Se (0.147, 0.853, 0.000)
Se (0.853, 0.147, 0.000)
Se (0.853, 0.853, 0.707)

Energy relative to the elements, uncorrected: 0.310 eV per atom
Offset from the most stable computed form: 0.310 eV/atom
Total magnetization: 0.00 μB/cell
Mass density: 3.725 g cm⁻³

DFT (GGA-PBE) results for crystalline Se at its relaxed geometry.

Lattice parameters (Å, degrees): 9.677 9.677 5.109 90.00 90.00 90.00
Sites, in units of the cell vectors:
Se (0.000, 0.280, 0.000)
Se (0.000, 0.720, 0.000)
Se (0.198, 0.198, 0.779)
Se (0.198, 0.802, 0.779)
Se (0.280, 0.000, 0.000)
Se (0.720, 0.000, 0.000)
Se (0.802, 0.198, 0.779)
Se (0.802, 0.802, 0.779)

Energy relative to the elements, uncorrected: 0.017 eV per atom
Offset from the most stable computed form: 0.017 eV/atom
Total magnetization: 0.00 μB/cell
Mass density: 2.192 g cm⁻³